Version i
PmSm4Dy5 after structural relaxation, computed with PBE.

POSCAR file:
```
PmSm4Dy5
1.0
8.6291 -1.7744 0.0000
8.6291 1.7744 0.0000
-0.0243 0.0000 11.1332
Pm Sm Dy
1 4 5
Direct
0.0000 0.0000 0.0000
0.1541 0.1541 0.2499
0.4706 0.4706 0.2516
0.5294 0.5294 0.7484
0.8459 0.8459 0.7501
0.0000 0.0000 0.5000
0.3256 0.3256 0.0537
0.3266 0.3266 0.4496
0.6734 0.6734 0.5504
0.6744 0.6744 0.9463
```

=====

Version ii
PmSm4Dy5 after structural relaxation, computed with PBE.

POSCAR file:
```
PmSm4Dy5
1.0
-5.3028 5.3028 3.0007
5.3028 -5.3028 3.0007
5.3028 5.3028 -3.0007
Pm Sm Dy
1 4 5
Direct
0.0000 0.0000 0.0000
0.2505 0.5757 0.3252
0.2505 0.9254 0.6748
0.5757 0.2505 0.3252
0.9254 0.2505 0.6748
0.4714 0.4714 0.0000
0.5440 0.5440 0.6214
0.5440 0.9227 0.0000
0.9227 0.5440 0.0000
0.9227 0.9227 0.3786
```

=====

Which structure is the least stable? The one labeled version ii.

=====

Version i
Pm6SmDy3 after structural relaxation, computed with PBE.

POSCAR file:
```
Pm6SmDy3
1.0
5.5094 -9.6391 0.0000
5.5094 9.6391 0.0000
0.0000 0.0000 6.3377
Pm Sm Dy
12 2 6
Direct
0.0375 0.9625 0.5000
0.0554 0.4733 0.9903
0.2799 0.7201 0.2653
0.2905 0.3731 0.1677
0.3731 0.2905 0.6677
0.4733 0.0554 0.4903
0.5267 0.9446 0.9903
0.6269 0.7095 0.1677
0.7095 0.6269 0.6677
0.7201 0.2799 0.7653
0.9446 0.5267 0.4903
0.9625 0.0375 0.0000
0.1960 0.8040 0.7338
0.8040 0.1960 0.2338
0.0571 0.2873 0.5820
0.2873 0.0571 0.0820
0.3846 0.6154 0.7028
0.6154 0.3846 0.2028
0.7127 0.9429 0.5820
0.9429 0.7127 0.0820
```

=====

Version ii
Pm6SmDy3 after structural relaxation, computed with PBE.

POSCAR file:
```
Pm6SmDy3
1.0
4.9032 -10.6852 0.0000
4.9032 10.6852 0.0000
0.0000 0.0000 6.4555
Pm Sm Dy
12 2 6
Direct
0.0152 0.9848 0.5000
0.1069 0.5443 0.9821
0.2611 0.3802 0.7345
0.3007 0.6993 0.5091
0.3802 0.2611 0.2345
0.4557 0.8931 0.9821
0.5443 0.1069 0.4821
0.6198 0.7389 0.7345
0.6993 0.3007 0.0091
0.7389 0.6198 0.2345
0.8931 0.4557 0.4821
0.9848 0.0152 0.0000
0.1581 0.8419 0.2973
0.8419 0.1581 0.7973
0.0415 0.2945 0.3212
0.2945 0.0415 0.8212
0.4193 0.5807 0.2143
0.5807 0.4193 0.7143
0.7055 0.9585 0.3212
0.9585 0.7055 0.8212
```

=====

Which structure is the least stable? The one labeled version i.

=====

Version i
Pm4Sm5Dy2 after structural relaxation, computed with PBE.

POSCAR file:
```
Pm4Sm5Dy2
1.0
11.3695 -1.8567 0.0000
11.3695 1.8567 0.0000
-2.9701 0.0000 8.8191
Pm Sm Dy
4 5 2
Direct
0.0244 0.0244 0.2129
0.3289 0.3289 0.5696
0.6711 0.6711 0.4304
0.9756 0.9756 0.7871
0.1272 0.1272 0.7298
0.2353 0.2353 0.1591
0.5000 0.5000 0.5000
0.7647 0.7647 0.8409
0.8728 0.8728 0.2702
0.3980 0.3980 0.9747
0.6020 0.6020 0.0253
```

=====

Version ii
Pm4Sm5Dy2 after structural relaxation, computed with PBE.

POSCAR file:
```
Pm4Sm5Dy2
1.0
-1.7632 4.6704 11.6459
1.7632 -4.6704 11.6459
1.7632 4.6704 -11.6459
Pm Sm Dy
4 5 2
Direct
0.0963 0.0963 0.0000
0.2006 0.5000 0.7006
0.7994 0.5000 0.2994
0.9037 0.9037 0.0000
0.1482 0.3508 0.7974
0.4466 0.6492 0.7974
0.5000 0.0000 0.5000
0.5534 0.3508 0.2026
0.8518 0.6492 0.2026
0.2302 0.2302 0.0000
0.7698 0.7698 0.0000
```

=====

Which structure is the least stable? The one labeled version ii.

=====

Version i
Pm2Sm3Dy7 after structural relaxation, computed with PBE.

POSCAR file:
```
Pm2Sm3Dy7
1.0
6.1126 0.0000 0.0000
0.0000 5.6272 0.0000
-0.9712 0.0000 12.2300
Pm Sm Dy
2 3 7
Direct
0.1309 0.0000 0.2886
0.8691 0.0000 0.7114
0.0000 0.0000 0.0000
0.4629 0.5000 0.3262
0.5371 0.5000 0.6738
0.0508 0.5000 0.8255
0.2728 0.0000 0.5583
0.4100 0.0000 0.8394
0.5000 0.5000 0.0000
0.5900 0.0000 0.1606
0.7272 0.0000 0.4417
0.9492 0.5000 0.1745
```

=====

Version ii
Pm2Sm3Dy7 after structural relaxation, computed with PBE.

POSCAR file:
```
Pm2Sm3Dy7
1.0
5.8368 0.0000 0.0000
0.0000 3.5876 0.0000
-1.0667 0.0000 18.8168
Pm Sm Dy
2 3 7
Direct
0.2088 0.0000 0.2931
0.7912 0.0000 0.7069
0.0000 0.0000 0.0000
0.2786 0.5000 0.6318
0.7214 0.5000 0.3682
0.1862 0.5000 0.1425
0.2426 0.0000 0.4623
0.3119 0.0000 0.8262
0.5000 0.5000 0.0000
0.6881 0.0000 0.1738
0.7574 0.0000 0.5377
0.8138 0.5000 0.8575
```

=====

Which structure is the least stable? The one labeled version i.

=====

Version i
Pm3SmDy7 after structural relaxation, computed with PBE.

POSCAR file:
```
Pm3SmDy7
1.0
6.9725 0.0000 0.0000
0.0000 5.5532 0.0000
-3.4711 0.0000 9.4209
Pm Sm Dy
3 1 7
Direct
0.0000 0.0000 0.0000
0.2824 0.5000 0.4996
0.7176 0.5000 0.5004
0.5000 0.0000 0.0000
0.0000 0.0000 0.5000
0.1446 0.5000 0.7889
0.3201 0.5000 0.1389
0.4159 0.0000 0.3298
0.5841 0.0000 0.6702
0.6799 0.5000 0.8611
0.8554 0.5000 0.2111
```

=====

Version ii
Pm3SmDy7 after structural relaxation, computed with PBE.

POSCAR file:
```
Pm3SmDy7
1.0
-2.9245 5.5927 5.6289
2.9245 -5.5927 5.6289
2.9245 5.5927 -5.6289
Pm Sm Dy
3 1 7
Direct
0.0000 0.0000 0.0000
0.2110 0.7110 0.5000
0.7890 0.2890 0.5000
0.5000 0.5000 0.0000
0.0128 0.8049 0.2080
0.2050 0.5000 0.7050
0.4031 0.1951 0.2080
0.5000 0.0000 0.5000
0.5969 0.8049 0.7920
0.7950 0.5000 0.2950
0.9872 0.1951 0.7920
```

=====

Which structure is the least stable? The one labeled version ii.

=====

Version i
PmSm2Dy3 after structural relaxation, computed with PBE.

POSCAR file:
```
PmSm2Dy3
1.0
4.7553 -6.6087 0.0000
4.7553 6.6087 0.0000
0.0000 0.0000 6.4028
Pm Sm Dy
2 4 6
Direct
0.1760 0.8240 0.5000
0.8240 0.1760 0.0000
0.2591 0.3769 0.2751
0.3769 0.2591 0.7751
0.6231 0.7409 0.2751
0.7409 0.6231 0.7751
0.0819 0.9181 0.0259
0.1227 0.5119 0.8190
0.4881 0.8773 0.8190
0.5119 0.1227 0.3190
0.8773 0.4881 0.3190
0.9181 0.0819 0.5259
```

=====

Version ii
PmSm2Dy3 after structural relaxation, computed with PBE.

POSCAR file:
```
PmSm2Dy3
1.0
11.6454 -1.7568 0.0000
11.6454 1.7568 0.0000
-3.2732 0.0000 9.7823
Pm Sm Dy
2 4 6
Direct
0.1867 0.1867 0.0378
0.8133 0.8133 0.9622
0.1916 0.1916 0.3720
0.4320 0.4320 0.8611
0.5680 0.5680 0.1389
0.8084 0.8084 0.6280
0.0592 0.0592 0.4450
0.1950 0.1950 0.7152
0.4315 0.4315 0.2368
0.5685 0.5685 0.7632
0.8050 0.8050 0.2848
0.9408 0.9408 0.5550
```

=====

Which structure is the least stable? The one labeled version i.

=====

Version i
Pm2Sm2Dy5 after structural relaxation, computed with PBE.

POSCAR file:
```
Pm2Sm2Dy5
1.0
-7.4840 5.9286 3.3793
7.4840 -5.9286 3.3793
7.4840 5.9286 -3.3793
Pm Sm Dy
4 4 10
Direct
0.0020 0.1267 0.1288
0.0020 0.3733 0.3753
0.9980 0.6267 0.6247
0.9980 0.8733 0.8712
0.4567 0.4567 0.0000
0.4567 0.9567 0.5000
0.5380 0.7978 0.2402
0.5577 0.2978 0.7598
0.0938 0.0990 0.4947
0.0976 0.4754 0.9077
0.0976 0.6900 0.1223
0.4029 0.2009 0.3074
0.4029 0.5956 0.7020
0.5677 0.1900 0.0923
0.5677 0.9754 0.8777
0.6043 0.5990 0.5053
0.8935 0.0956 0.6926
0.8935 0.7009 0.2980
```

=====

Version ii
Pm2Sm2Dy5 after structural relaxation, computed with PBE.

POSCAR file:
```
Pm2Sm2Dy5
1.0
10.7734 -1.7516 0.0000
10.7734 1.7516 0.0000
-1.4071 0.0000 8.1859
Pm Sm Dy
2 2 5
Direct
0.1854 0.1854 0.1469
0.8146 0.8146 0.8531
0.4536 0.4536 0.6450
0.5464 0.5464 0.3550
0.0000 0.0000 0.0000
0.1005 0.1005 0.7407
0.3099 0.3099 0.4759
0.6901 0.6901 0.5241
0.8995 0.8995 0.2593
```

=====

Which structure is the least stable? The one labeled version ii.

=====

Version i
Pm5SmDy2 after structural relaxation, computed with PBE.

POSCAR file:
```
Pm5SmDy2
1.0
7.2400 0.0000 0.0000
0.0000 14.4805 0.0000
0.0000 0.0000 5.1147
Pm Sm Dy
10 2 4
Direct
0.0000 0.0000 0.0000
0.0000 0.2502 0.0000
0.0000 0.7498 0.0000
0.2501 0.1249 0.5000
0.2499 0.6249 0.5000
0.5000 0.2498 0.0000
0.5000 0.5000 0.0000
0.5000 0.7502 0.0000
0.7501 0.3751 0.5000
0.7499 0.8751 0.5000
0.0000 0.5000 0.0000
0.5000 0.0000 0.0000
0.2500 0.3752 0.5000
0.2500 0.8752 0.5000
0.7500 0.1248 0.5000
0.7500 0.6248 0.5000
```

=====

Version ii
Pm5SmDy2 after structural relaxation, computed with PBE.

POSCAR file:
```
Pm5SmDy2
1.0
8.3827 -5.0144 0.0000
8.3827 5.0144 0.0000
-1.0671 0.0000 6.4762
Pm Sm Dy
10 2 4
Direct
0.0554 0.9446 0.7500
0.1133 0.2885 0.0191
0.2885 0.1133 0.5191
0.3088 0.4988 0.8581
0.4988 0.3088 0.3581
0.5012 0.6912 0.6419
0.6912 0.5012 0.1419
0.7115 0.8867 0.4809
0.8867 0.7115 0.9809
0.9446 0.0554 0.2500
0.0000 0.5000 0.5000
0.5000 0.0000 0.0000
0.1770 0.6663 0.3727
0.3337 0.8230 0.1273
0.6663 0.1770 0.8727
0.8230 0.3337 0.6273
```

=====

Which structure is the least stable? The one labeled version ii.